Computed, not measured: an optimized crystal structure of SrTeRu2O8 at the PBE-GGA level of DFT.

The uncorrected formation energy is -1.110 eV/atom. The calculation puts the volume at 12.72 A^3/atom. The calculation puts the density at 5.9 g/cm3.

The space group is P2/m (No. 10) and the conventional cell measures 4.7548, 6.5661 and 4.8922 Å, with angles of 90.00, 91.96 and 90.00 degrees. Symmetry generates all atoms from Sr at (0.0000, 0.0000, 0.0000), Te at (0.0000, 0.5000, 0.0000), Ru at (0.5000, 0.2517, 0.5000), O at (0.2370, 0.2854, 0.1751), O at (0.2761, 0.5000, 0.6666) and O at (0.3142, 0.0000, 0.6297).